Entry 1:
NaNpRh4S8 PBE-GGA optimized geometry; E_form (uncorrected) = -8.71 eV per formula unit
1.0
-4.054 3.777 4.778
-5.926 -3.069 2.999
-0.031 -1.813 7.008
S Rh Na Np
8 4 1 1
Direct
0.764 0.764 0.709
0.248 0.248 0.709
0.236 0.740 0.283
0.248 0.794 0.709
0.230 0.230 0.309
0.740 0.236 0.283
0.794 0.248 0.709
0.740 0.740 0.283
0.501 0.002 0.495
0.625 0.625 0.124
0.002 0.501 0.495
0.002 0.002 0.495
0.372 0.372 0.883
0.996 0.996 0.013

Entry 2:
TbCeCd PBE-GGA optimized geometry; energy of formation = -13 kJ/mol of atoms; energy relative to the lowest polymorph listed for this composition = 0 meV per atom
1.0
-1.979 0.414 2.901
3.527 -2.966 2.830
5.432 6.986 0.553
Ce Tb Cd
2 2 2
Direct
0.230 0.750 0.461
0.770 0.250 0.539
0.089 0.250 0.178
0.911 0.750 0.822
0.567 0.750 0.134
0.433 0.250 0.866

Entry 3:
YInCo2Se PBE-GGA optimized geometry; E_form (uncorrected) = 3.77 eV per formula unit
1.0
4.690 0.000 0.000
0.000 5.835 0.000
0.000 0.000 4.690
Y Co In Se
1 2 1 1
Direct
0.000 0.500 0.000
0.500 0.000 0.000
0.000 0.000 0.500
0.000 0.000 0.000
0.500 0.500 0.500

Number 1: D(E_F) 13.6 states/eV/f.u.. Number 2: D(E_F) 5.9 states/eV/f.u.. Number 3: D(E_F) 5.0 states/eV/f.u..